Here is a geometry-optimized PmTiV2O8 structure from Alexandria. Energies are from PBE+U. Values from VASP.

Results
- Uncorrected energy: -7.940 eV per atom

```
&SYSTEM
  ibrav = 0, nat = 12, ntyp = 4
/
ATOMIC_SPECIES
Pm 145.00 Pm.upf
Ti 47.87 Ti.upf
V 50.94 V.upf
O 16.00 O.upf
CELL_PARAMETERS angstrom
5.828 0.000 0.000
-2.914 5.047 0.000
0.000 0.000 6.037
ATOMIC_POSITIONS crystal
Pm 0.000 0.000 0.000
Ti 0.000 0.000 0.500
V 0.333 0.667 0.368
V 0.667 0.333 0.632
O 0.160 0.319 0.288
O 0.160 0.840 0.288
O 0.319 0.160 0.712
O 0.333 0.667 0.637
O 0.667 0.333 0.363
O 0.681 0.840 0.288
O 0.840 0.160 0.712
O 0.840 0.681 0.712
```